VASP calculation (PBE) on HfBeFeIr after structural relaxation.

## Properties
- Crystal system: cubic
- Space group: F-43m
- Energy of formation from the pure elements: -365 meV per atom

Cell lengths 4.2677, 4.2677, 4.2677 Å; angles 60.00, 60.00, 60.00 degrees
Element x y z (fractional)
Hf: 0.0000 0.0000 0.0000
Be: 0.5000 0.5000 0.5000
Fe: 0.2500 0.2500 0.2500
Ir: 0.7500 0.7500 0.7500